(1)
Computed, not measured: a PBEsol-optimized structure of CsHgIN2 at the SCAN level of DFT.

extended XYZ file:
```
5
Lattice="4.869 0.000 0.000 0.000 4.869 0.000 0.000 0.000 6.125" Properties=species:S:1:pos:R:3 pbc="T T T"
Cs 0.000 0.000 0.000
Hg 2.435 2.435 3.063
I 2.435 2.435 0.000
N 0.000 2.435 3.063
N 2.435 0.000 3.063
```

Summary:
For the uncorrected formation energy, the calculation gives 1.096 eV/atom. The space group is P4/mmm, No. 123.

***

(2)
Computed, not measured: a PBEsol-optimized structure of CsHgI2N at the SCAN level of DFT.

extended XYZ file:
```
5
Lattice="7.191 0.000 0.000 0.000 7.191 0.000 0.000 0.000 6.295" Properties=species:S:1:pos:R:3 pbc="T T T"
Cs 0.000 0.000 0.000
Hg 3.596 3.596 3.148
I 0.000 3.596 0.000
I 3.596 0.000 0.000
N 0.000 0.000 3.148
```

Summary:
For the uncorrected formation energy, the calculation gives 0.638 eV/atom. The space group is P4/mmm, No. 123.

***

(3)
Computed, not measured: a PBEsol-optimized structure of Cs2TlHgI6 at the SCAN level of DFT.

extended XYZ file:
```
10
Lattice="0.000 6.003 6.003 6.003 0.000 6.003 6.003 6.003 0.000" Properties=species:S:1:pos:R:3 pbc="T T T"
Cs 3.001 3.001 3.001
Cs 9.004 9.004 9.004
Tl 0.000 0.000 0.000
Hg 6.003 6.003 6.003
I 6.003 6.003 3.052
I 6.003 3.052 6.003
I 8.954 6.003 6.003
I 3.052 6.003 6.003
I 6.003 8.954 6.003
I 6.003 6.003 8.954
```

Summary:
For the uncorrected formation energy, the calculation gives -0.884 eV/atom. The space group is Fm-3m, No. 225.

***

(4)
Computed, not measured: a PBEsol-optimized structure of CsInHg3 at the SCAN level of DFT.

extended XYZ file:
```
5
Lattice="5.610 0.000 0.000 0.000 5.610 0.000 0.000 0.000 5.610" Properties=species:S:1:pos:R:3 pbc="T T T"
Cs 0.000 0.000 0.000
In 2.805 2.805 2.805
Hg 0.000 2.805 2.805
Hg 2.805 0.000 2.805
Hg 2.805 2.805 0.000
```

Summary:
The calculation puts the formation energy at -0.20 eV/atom. The space group is Pm-3m, No. 221.

***

(5)
Computed, not measured: a PBEsol-optimized structure of CsIn3Hg at the SCAN level of DFT.

extended XYZ file:
```
5
Lattice="5.678 0.000 0.000 0.000 5.678 0.000 0.000 0.000 5.678" Properties=species:S:1:pos:R:3 pbc="T T T"
Cs 0.000 0.000 0.000
In 0.000 2.839 2.839
In 2.839 0.000 2.839
In 2.839 2.839 0.000
Hg 2.839 2.839 2.839
```

Summary:
The calculation puts the formation energy at 0.15 eV/atom. The space group is Pm-3m, No. 221.

***

(6)
Computed, not measured: a PBEsol-optimized structure of CsIn2TcHg at the SCAN level of DFT.

extended XYZ file:
```
5
Lattice="6.127 0.000 0.000 0.000 6.127 0.000 0.000 0.000 5.986" Properties=species:S:1:pos:R:3 pbc="T T T"
Cs 0.000 0.000 0.000
In 0.000 3.064 0.000
In 3.064 0.000 0.000
Tc 3.064 3.064 2.993
Hg 0.000 0.000 2.993
```

Summary:
The calculation puts the formation energy at 1.82 eV/atom. The space group is P4/mmm, No. 123.

***

(7)
Computed, not measured: a PBEsol-optimized structure of Cs3KHg at the SCAN level of DFT.

extended XYZ file:
```
5
Lattice="7.308 0.000 0.000 0.000 7.308 0.000 0.000 0.000 7.308" Properties=species:S:1:pos:R:3 pbc="T T T"
Cs 0.000 0.000 3.654
Cs 0.000 3.654 0.000
Cs 3.654 0.000 0.000
K 3.654 3.654 3.654
Hg 0.000 0.000 0.000
```

Summary:
The calculation puts the formation energy at -0.10 eV/atom. The space group is Pm-3m, No. 221.

***

(8)
Computed, not measured: a PBEsol-optimized structure of CsK3Hg at the SCAN level of DFT.

extended XYZ file:
```
5
Lattice="6.822 0.000 0.000 0.000 6.822 0.000 0.000 0.000 6.822" Properties=species:S:1:pos:R:3 pbc="T T T"
Cs 0.000 0.000 0.000
K 0.000 3.411 3.411
K 3.411 0.000 3.411
K 3.411 3.411 0.000
Hg 3.411 3.411 3.411
```

Summary:
The calculation puts the formation energy at -0.11 eV/atom. The calculation puts the energy above the lowest structure with this stoichiometry at 0.000 eV/f.u. The space group is Pm-3m, No. 221.

***

(9)
Computed, not measured: a PBEsol-optimized structure of Cs2KHg at the SCAN level of DFT.

extended XYZ file:
```
8
Lattice="-6.025 6.025 3.700 6.025 -6.025 3.700 6.025 6.025 -3.700" Properties=species:S:1:pos:R:3 pbc="T T T"
Cs 3.012 1.829 -0.925
Cs 4.195 -3.012 4.626
Cs 3.012 4.195 2.775
Cs 1.829 9.037 0.925
K 6.025 0.000 1.850
K 0.000 0.000 3.700
Hg 0.000 0.000 0.000
Hg 0.000 6.025 1.850
```

Summary:
The calculation puts the formation energy at -0.09 eV/atom. The calculation puts the energy above the lowest structure with this stoichiometry at 0.000 eV/f.u. The space group is I-42d, No. 122.

***

(10)
Computed, not measured: a PBEsol-optimized structure of Cs2KHg at the SCAN level of DFT.

extended XYZ file:
```
4
Lattice="0.000 4.932 4.932 4.932 0.000 4.932 4.932 4.932 0.000" Properties=species:S:1:pos:R:3 pbc="T T T"
Cs 2.466 2.466 2.466
Cs 7.397 7.397 7.397
K 0.000 0.000 0.000
Hg 4.932 4.932 4.932
```

Summary:
The calculation puts the formation energy at -0.03 eV/atom. The calculation puts the energy above the lowest structure with this stoichiometry at 0.245 eV/f.u. The space group is Fm-3m, No. 225.

***

(11)
Computed, not measured: a PBEsol-optimized structure of CsK3Hg at the SCAN level of DFT.

extended XYZ file:
```
5
Lattice="8.251 0.000 0.000 0.000 8.251 0.000 0.000 0.000 8.251" Properties=species:S:1:pos:R:3 pbc="T T T"
Cs 0.000 0.000 0.000
K 0.000 0.000 4.126
K 0.000 4.126 0.000
K 4.126 0.000 0.000
Hg 4.126 4.126 4.126
```

Summary:
The calculation puts the formation energy at 0.40 eV/atom. The calculation puts the energy above the lowest structure with this stoichiometry at 2.568 eV/f.u. The space group is Pm-3m, No. 221.

***

(12)
Computed, not measured: a PBEsol-optimized structure of CsLiHg3 at the SCAN level of DFT.

extended XYZ file:
```
5
Lattice="6.556 0.000 0.000 0.000 6.556 0.000 0.000 0.000 6.556" Properties=species:S:1:pos:R:3 pbc="T T T"
Cs 0.000 0.000 0.000
Li 3.278 3.278 3.278
Hg 0.000 0.000 3.278
Hg 0.000 3.278 0.000
Hg 3.278 0.000 0.000
```

Summary:
The calculation puts the formation energy at 0.30 eV/atom. The calculation puts the energy above the lowest structure with this stoichiometry at 2.983 eV/f.u. The space group is Pm-3m, No. 221.

***

no.,energy (eV per atom),total magnetic moment (μB per cell),calculated volume (Å³/cell)
1,-31.16,4.09,145
2,-37.11,4.01,326
3,-44.54,0.00,433
4,-55.33,0.00,177
5,-41.08,0.00,183
6,-39.74,3.44,225
7,-38.09,0.00,390
8,-26.30,0.00,317
9,-38.12,0.91,537
10,-38.06,0.61,240
11,-25.79,0.02,562
12,-48.64,0.09,282